DFT (PBE with a Hubbard U) results for a geometry-optimized LiEr2Co2O6 structure.

## Properties
E_tot in eV/atom: -6.412
Volume in A^3/atom: 13.9
Symmetry: No. 166
M_tot in μB/f.u.: 7.000

Unit cell a=5.758 b=5.758 c=6.266 alpha=62.65 beta=62.65 gamma=60.00
Site moments in Bohr magnetons follow the coordinates.
Fractional positions:
Li1 0.000 0.000 0.000  0.01
Er1 0.815 0.815 0.554  0.03
Er2 0.185 0.185 0.446  0.03
Co1 0.412 0.412 0.764  2.73
Co2 0.588 0.588 0.236  2.73
O1 0.752 0.752 0.280  0.21
O2 0.216 0.752 0.280  0.21
O3 0.752 0.216 0.280  0.21
O4 0.248 0.784 0.720  0.21
O5 0.784 0.248 0.720  0.21
O6 0.248 0.248 0.720  0.21